Run 1
Na3MoPt: optimized geometry, PBE. Values from VASP.

```
&SYSTEM
  ibrav = 0, nat = 5, ntyp = 3
/
ATOMIC_SPECIES
Na 22.99 Na.upf
Mo 95.94 Mo.upf
Pt 195.08 Pt.upf
CELL_PARAMETERS angstrom
5.426 0.000 0.000
0.000 5.426 0.000
0.000 0.000 5.426
ATOMIC_POSITIONS crystal
Na 0.000 0.000 0.500
Na 0.000 0.500 0.000
Na 0.500 0.000 0.000
Mo 0.500 0.500 0.500
Pt 0.000 0.000 0.000
```

Output
SG   No. 221
N(E_F)   0.17 states/eV per atom
Theoretical density   3.74 Mg/m³

=====

Run 2
Na3MoPt: optimized geometry, PBE. Values from VASP.

```
&SYSTEM
  ibrav = 0, nat = 5, ntyp = 3
/
ATOMIC_SPECIES
Na 22.99 Na.upf
Mo 95.94 Mo.upf
Pt 195.08 Pt.upf
CELL_PARAMETERS angstrom
5.601 0.000 0.000
0.000 5.601 0.000
0.000 0.000 5.601
ATOMIC_POSITIONS crystal
Na 0.000 0.000 0.500
Na 0.000 0.500 0.000
Na 0.500 0.000 0.000
Mo 0.000 0.000 0.000
Pt 0.500 0.500 0.500
```

Output
SG   No. 221
N(E_F)   0.09 states/eV per atom
Theoretical density   3.40 Mg/m³

=====

Best to worst by energy: run 1, run 2.

=====

Run 1
Rb2NaMo: optimized geometry, PBE. Values from VASP.

```
&SYSTEM
  ibrav = 0, nat = 4, ntyp = 3
/
ATOMIC_SPECIES
Rb 85.47 Rb.upf
Na 22.99 Na.upf
Mo 95.94 Mo.upf
CELL_PARAMETERS angstrom
0.000 4.629 4.629
4.629 0.000 4.629
4.629 4.629 0.000
ATOMIC_POSITIONS crystal
Rb 0.250 0.250 0.250
Rb 0.750 0.750 0.750
Na 0.000 0.000 0.000
Mo 0.500 0.500 0.500
```

Output
SG   No. 225
N(E_F)   0.48 states/eV per atom
Theoretical density   2.43 Mg/m³

=====

Run 2
Rb2NaMo: optimized geometry, PBE. Values from VASP.

```
&SYSTEM
  ibrav = 0, nat = 8, ntyp = 3
/
ATOMIC_SPECIES
Rb 85.47 Rb.upf
Na 22.99 Na.upf
Mo 95.94 Mo.upf
CELL_PARAMETERS angstrom
-5.252 5.252 3.791
5.252 -5.252 3.791
5.252 5.252 -3.791
ATOMIC_POSITIONS crystal
Rb 0.113 0.625 0.988
Rb 0.375 0.363 0.488
Rb 0.637 0.125 0.012
Rb 0.875 0.887 0.512
Na 0.250 0.750 0.500
Na 0.500 0.500 0.000
Mo 0.000 0.000 0.000
Mo 0.750 0.250 0.500
```

Output
SG   No. 122
N(E_F)   0.60 states/eV per atom
Theoretical density   2.30 Mg/m³

=====

Best to worst by energy: run 1, run 2.

=====

Run 1
RbNa3Mo: optimized geometry, PBE. Values from VASP.

```
&SYSTEM
  ibrav = 0, nat = 5, ntyp = 3
/
ATOMIC_SPECIES
Rb 85.47 Rb.upf
Na 22.99 Na.upf
Mo 95.94 Mo.upf
CELL_PARAMETERS angstrom
6.247 0.000 0.000
0.000 6.247 0.000
0.000 0.000 6.247
ATOMIC_POSITIONS crystal
Rb 0.000 0.000 0.000
Na 0.000 0.000 0.500
Na 0.000 0.500 0.000
Na 0.500 0.000 0.000
Mo 0.500 0.500 0.500
```

Output
SG   No. 221
N(E_F)   0.72 states/eV per atom
Theoretical density   1.71 Mg/m³

=====

Run 2
RbNa3Mo: optimized geometry, PBE. Values from VASP.

```
&SYSTEM
  ibrav = 0, nat = 5, ntyp = 3
/
ATOMIC_SPECIES
Rb 85.47 Rb.upf
Na 22.99 Na.upf
Mo 95.94 Mo.upf
CELL_PARAMETERS angstrom
6.228 0.000 0.000
0.000 6.228 0.000
0.000 0.000 6.228
ATOMIC_POSITIONS crystal
Rb 0.000 0.000 0.000
Na 0.000 0.500 0.500
Na 0.500 0.000 0.500
Na 0.500 0.500 0.000
Mo 0.500 0.500 0.500
```

Output
SG   No. 221
N(E_F)   0.82 states/eV per atom
Theoretical density   1.72 Mg/m³

=====

Best to worst by energy: run 2, run 1.

=====

Run 1
NaReMo2: optimized geometry, PBE. Values from VASP.

```
&SYSTEM
  ibrav = 0, nat = 4, ntyp = 3
/
ATOMIC_SPECIES
Na 22.99 Na.upf
Re 186.21 Re.upf
Mo 95.94 Mo.upf
CELL_PARAMETERS angstrom
0.000 3.170 3.170
3.170 0.000 3.170
3.170 3.170 0.000
ATOMIC_POSITIONS crystal
Na 0.000 0.000 0.000
Re 0.500 0.500 0.500
Mo 0.250 0.250 0.250
Mo 0.750 0.750 0.750
```

Output
SG   No. 225
N(E_F)   1.18 states/eV per atom
Theoretical density   10.45 Mg/m³

=====

Run 2
NaReMo2: optimized geometry, PBE. Values from VASP.

```
&SYSTEM
  ibrav = 0, nat = 8, ntyp = 3
/
ATOMIC_SPECIES
Na 22.99 Na.upf
Re 186.21 Re.upf
Mo 95.94 Mo.upf
CELL_PARAMETERS angstrom
-3.670 3.670 2.769
3.670 -3.670 2.769
3.670 3.670 -2.769
ATOMIC_POSITIONS crystal
Na 0.000 0.000 0.000
Na 0.750 0.250 0.500
Re 0.250 0.750 0.500
Re 0.500 0.500 0.000
Mo 0.171 0.125 0.546
Mo 0.375 0.829 0.954
Mo 0.579 0.625 0.454
Mo 0.875 0.421 0.046
```

Output
SG   No. 122
N(E_F)   0.61 states/eV per atom
Theoretical density   8.93 Mg/m³

=====

Best to worst by energy: run 1, run 2.